# GGA+U FeBSeF2, relaxed
data_FeBSeF2
_cell_length_a 3.741
_cell_length_b 3.741
_cell_length_c 4.654
_cell_angle_alpha 90.00
_cell_angle_beta 90.00
_cell_angle_gamma 90.00
_symmetry_space_group_name_H-M 'P 4/m m m'
_symmetry_Int_Tables_number 123
_symmetry_space_group_name_Hall '-P 4 2'
loop_
_atom_site_label
_atom_site_type_symbol
_atom_site_fract_x
_atom_site_fract_y
_atom_site_fract_z
Fe1 Fe 0.000 0.000 0.000
B1 B 0.500 0.500 0.500
Se1 Se 0.500 0.500 0.000
F1 F 0.000 0.500 0.500
# total magnetic moment	0.779	μB per atom
# N(E_F)	1.567	states/eV per cell
# electronic total energy	-4.4193	eV per atom
# crystal system	tetragonal